The following is a GGA+U calculation of crystalline Ni2PbO at its relaxed geometry, from Alexandria via LeMat-Bulk. Values from VASP.

Properties
Calculated density ... 10.8 g/cm³
Electronic total energy ... -2.524 eV per atom
Space group ... No. 225

Structure (Quantum ESPRESSO input):
```
&SYSTEM
  ibrav = 0, nat = 4, ntyp = 3
/
ATOMIC_SPECIES
Ni 58.69 Ni.upf
Pb 207.20 Pb.upf
O 16.00 O.upf
CELL_PARAMETERS angstrom
0.0000 2.9694 2.9694
2.9694 0.0000 2.9694
2.9694 2.9694 0.0000
ATOMIC_POSITIONS angstrom
Ni 1.4847 1.4847 1.4847
Ni 4.4542 4.4542 4.4542
Pb 0.0000 0.0000 0.0000
O 2.9694 2.9694 2.9694
```